No. 1
Below is a geometry-optimized Fe2CuBr structure, with properties calculated at the PBE-GGA level.

Cell lengths 5.2583, 5.2583, 6.3935 Å; angles 65.72, 65.72, 90.00 degrees
Fractional coordinates of all 8 atoms:
1 Fe 0.8750 0.8819 0.7500
2 Fe 0.6319 0.1250 0.2500
3 Fe 0.1181 0.6250 0.2500
4 Fe 0.3750 0.3681 0.7500
5 Cu 0.2500 0.7500 0.5000
6 Cu 0.5000 0.5000 0.0000
7 Br 0.7500 0.2500 0.5000
8 Br 0.0000 0.0000 0.0000

Calculated values
Its formation energy without anion corrections is 514 kJ/mol of formula units. The value obtained for the energy relative to the lowest polymorph listed for this composition is 0.988 eV/atom.



No. 2
Below is a geometry-optimized DyAlSi structure, with properties calculated at the PBE-GGA level.

Cell lengths 4.0360, 4.0360, 4.9858 Å; angles 113.88, 113.88, 90.00 degrees
Fractional coordinates of all 3 atoms:
1 Dy 0.2838 0.2838 0.5675
2 Al 0.9320 0.9320 0.8640
3 Si 0.6342 0.6342 0.2685

Calculated values
Its formation energy without anion corrections is -24 kJ/mol of formula units.



No. 3
Below is a geometry-optimized Na2Er2HfSe6 structure, with properties calculated at the PBE-GGA level.

Cell lengths 6.9323, 6.9323, 7.4777 Å; angles 99.09, 99.09, 119.55 degrees
Fractional coordinates of all 11 atoms:
1 Se 0.3934 0.0752 0.7216
2 Se 0.7579 0.7579 0.7198
3 Se 0.0752 0.3934 0.7216
4 Se 0.6066 0.9248 0.2784
5 Se 0.2421 0.2421 0.2802
6 Se 0.9248 0.6066 0.2784
7 Hf 0.0000 0.0000 0.5000
8 Er 0.6668 0.3332 0.5000
9 Er 0.3332 0.6668 0.5000
10 Na 0.1699 0.8301 0.0000
11 Na 0.8301 0.1699 0.0000

Calculated values
Its formation energy without anion corrections is -1692 kJ/mol of formula units.



Q: What is the formation energy without anion corrections in the second record?
A: -24 kJ/mol of formula units